Model A:
DFT (PBE) results for a geometry-optimized KNbGe2 structure.

abc: 5.998 5.998 9.070
angles: 70.69 70.69 90.00
Fractional coordinates of all 8 atoms:
1 Nb 0.000 0.000 0.000
2 Nb 0.750 0.250 0.500
3 K 0.500 0.500 0.000
4 K 0.250 0.750 0.500
5 Ge 0.858 0.125 0.250
6 Ge 0.875 0.108 0.750
7 Ge 0.375 0.142 0.750
8 Ge 0.892 0.625 0.250

Output
The space group is I-42d. The value obtained for the density of states at the Fermi level is 2.9 states/eV per cell.

---

Model B:
DFT (PBE) results for a geometry-optimized KNbGe2 structure.

abc: 4.906 4.906 4.906
angles: 60.00 60.00 60.00
Fractional coordinates of all 4 atoms:
1 Ge 0.250 0.250 0.250
2 Ge 0.750 0.750 0.750
3 K 0.000 0.000 0.000
4 Nb 0.500 0.500 0.500

Output
The space group is Fm-3m. The value obtained for the density of states at the Fermi level is 3.3 states/eV per cell.

---

Relative stability in kJ/mol of atoms, measured from the most stable structure: model A 0.0; model B 24.6

---

Model A:
DFT (PBE) results for a geometry-optimized KNbGe3 structure.

abc: 5.103 5.103 5.103
angles: 90.00 90.00 90.00
Fractional coordinates of all 5 atoms:
1 Ge 0.000 0.500 0.000
2 Ge 0.000 0.000 0.500
3 Ge 0.500 0.000 0.000
4 Nb 0.000 0.000 0.000
5 K 0.500 0.500 0.500

Output
The space group is Pm-3m. The value obtained for the density of states at the Fermi level is 2.2 states/eV per cell.

---

Model B:
DFT (PBE) results for a geometry-optimized KNbGe3 structure.

abc: 5.085 5.085 5.085
angles: 90.00 90.00 90.00
Fractional coordinates of all 5 atoms:
1 Ge 0.000 0.500 0.000
2 Ge 0.000 0.000 0.500
3 Ge 0.500 0.000 0.000
4 K 0.000 0.000 0.000
5 Nb 0.500 0.500 0.500

Output
The space group is Pm-3m. The value obtained for the density of states at the Fermi level is 8.2 states/eV per cell.

---

Relative stability in kJ/mol of atoms, measured from the most stable structure: model A 0.0; model B 194.5